## CaTl3Te (GGA-PBEsol)

Data for crystalline CaTl3Te at its relaxed geometry.

a b c (Å): 5.8978 5.8978 5.8978
angles (deg): 90.00 90.00 90.00
Last column: nearest neighbours and their distance in Å.
Element x y z (fractional)
Tl (0.0000, 0.0000, 0.5000)  2 Te 2.95
Tl (0.5000, 0.0000, 0.0000)  2 Te 2.95
Te (0.0000, 0.0000, 0.0000)  6 Tl 2.95
Ca (0.5000, 0.5000, 0.5000)  12 Tl 4.17
Tl (0.0000, 0.5000, 0.0000)  2 Te 2.95

Properties
Density of states at the Fermi level in states/eV per cell: 5.690
Formation energy from raw total energies in meV per atom: 292
Total moment in μB/atom: 0.000
Theoretical density in g cm⁻³: 6.3
E_tot in eV/f.u.: -12.1



## HfBiBN2 (GGA-PBEsol)

Data for crystalline HfBiBN2 at its relaxed geometry.

a b c (Å): 3.9020 3.9020 4.4599
angles (deg): 90.00 90.00 90.00
Last column: nearest neighbours and their distance in Å.
Element x y z (fractional)
B (0.0000, 0.0000, 0.0000)  4 N 1.95
Hf (0.0000, 0.0000, 0.5000)  2 B 2.23
Bi (0.5000, 0.5000, 0.5000)  4 Hf 2.76, 8 N 2.96
N (0.0000, 0.5000, 0.0000)  2 B 1.95
N (0.5000, 0.0000, 0.0000)  2 B 1.95

Properties
Density of states at the Fermi level in states/eV per cell: 3.131
Formation energy from raw total energies in meV per atom: 1397
Total moment in μB/atom: 0.001
Theoretical density in g cm⁻³: 10.4
E_tot in eV/f.u.: -31.9



## NaMoAsBr2 (GGA-PBEsol)

Data for crystalline NaMoAsBr2 at its relaxed geometry.

a b c (Å): 4.7915 5.3029 5.3029
angles (deg): 90.00 90.00 90.00
Last column: nearest neighbours and their distance in Å.
Element x y z (fractional)
As (0.5000, 0.0000, 0.0000)  2 Mo 2.40
Br (0.0000, 0.0000, 0.5000)  2 Mo 2.65
Na (0.5000, 0.5000, 0.5000)  8 Br 3.57, 4 As 3.75
Br (0.0000, 0.5000, 0.0000)  2 Mo 2.65
Mo (0.0000, 0.0000, 0.0000)  2 As 2.40, 4 Br 2.65

Properties
Density of states at the Fermi level in states/eV per cell: 2.546
Formation energy from raw total energies in meV per atom: -166
Total moment in μB/atom: 0.343
Theoretical density in g cm⁻³: 4.4
E_tot in eV/f.u.: -22.8



## Te3PtW (GGA-PBEsol)

Data for crystalline Te3PtW at its relaxed geometry.

a b c (Å): 5.1373 5.1373 5.1373
angles (deg): 90.00 90.00 90.00
Last column: nearest neighbours and their distance in Å.
Element x y z (fractional)
W (0.0000, 0.0000, 0.0000)  6 Te 2.57
Te (0.5000, 0.0000, 0.0000)  2 W 2.57
Pt (0.5000, 0.5000, 0.5000)  12 Te 3.63
Te (0.0000, 0.5000, 0.0000)  2 W 2.57
Te (0.0000, 0.0000, 0.5000)  2 W 2.57

Properties
Density of states at the Fermi level in states/eV per cell: 6.471
Formation energy from raw total energies in meV per atom: 1123
Total moment in μB/atom: 0.000
Theoretical density in g cm⁻³: 9.3
E_tot in eV/f.u.: -25.7